No. 1
The following is a PBEsol calculation of crystalline Ca2MgHg at its relaxed geometry, from Alexandria via LeMat-Bulk.

E above lowest polymorph = 0.10 eV/f.u.
Crystal system = cubic
M_tot = 0.00 μB per formula unit
Calculated total energy = -0.0726 hartree per atom
V = 109.2 Å³/cell

abc: 5.366 5.366 5.366
angles: 60.00 60.00 60.00
Atoms (fractional coordinates):
Ca 0.250 0.250 0.250
Ca 0.750 0.750 0.750
Hg 0.000 0.000 0.000
Mg 0.500 0.500 0.500

***

No. 2
The following is a PBEsol calculation of crystalline CaTa2O6 at its relaxed geometry, from Alexandria via LeMat-Bulk.

Crystal system = cubic
M_tot = 0.00 μB per formula unit
Calculated total energy = -0.3474 hartree per atom
V = 121.7 Å³/cell
Energy relative to the elements, uncorrected = -2928 meV per atom

abc: 5.563 5.563 5.563
angles: 60.00 60.00 60.00
Atoms (fractional coordinates):
O 0.000 0.500 0.000
O 0.000 0.500 0.500
O 0.500 0.500 0.000
O 0.000 0.000 0.500
O 0.500 0.000 0.000
O 0.500 0.000 0.500
Ta 0.750 0.750 0.750
Ta 0.250 0.250 0.250
Ca 0.500 0.500 0.500

***

No. 3
The following is a PBEsol calculation of crystalline Ta2CdSi at its relaxed geometry, from Alexandria via LeMat-Bulk.

Crystal system = tetragonal
M_tot = 0.00 μB per formula unit
Calculated total energy = -0.2887 hartree per atom
V = 67.5 Å³/cell
Energy relative to the elements, uncorrected = 155 meV per atom

abc: 3.939 3.939 5.168
angles: 112.40 112.40 90.00
Atoms (fractional coordinates):
Ta 0.000 0.000 0.000
Ta 0.750 0.250 0.500
Cd 0.500 0.500 0.000
Si 0.250 0.750 0.500

***

No. 4
The following is a PBEsol calculation of crystalline K2InBi2 at its relaxed geometry, from Alexandria via LeMat-Bulk.

Crystal system = tetragonal
M_tot = 0.00 μB per formula unit
Calculated total energy = -0.1116 hartree per atom
V = 364.7 Å³/cell

abc: 5.662 8.025 8.025
angles: 90.00 90.00 90.00
Atoms (fractional coordinates):
Bi 0.000 0.361 0.861
Bi 0.000 0.139 0.361
Bi 0.000 0.639 0.139
Bi 0.000 0.861 0.639
In 0.000 0.000 0.000
In 0.000 0.500 0.500
K 0.500 0.834 0.334
K 0.500 0.166 0.666
K 0.500 0.666 0.834
K 0.500 0.334 0.166